Here is a geometry-optimized SrMnF6 structure from Alexandria. Energies are from GGA+U.

Unit cell a=5.366 b=5.366 c=9.964 alpha=90.00 beta=90.00 gamma=120.00
Each line ends with the local moment (μB).
Atoms (fractional coordinates):
Sr  0.333  0.667  0.250  0.00
Sr  0.667  0.333  0.750  0.00
Mn  0.000  0.000  0.500  2.96
Mn  0.000  0.000  0.000  2.96
F  0.288  0.271  0.393  -0.03
F  0.712  0.729  0.607  -0.03
F  0.984  0.712  0.393  -0.03
F  0.288  0.016  0.107  -0.03
F  0.016  0.288  0.607  -0.03
F  0.712  0.984  0.893  -0.03
F  0.729  0.016  0.393  -0.03
F  0.984  0.271  0.107  -0.03
F  0.271  0.984  0.607  -0.03
F  0.016  0.729  0.893  -0.03
F  0.729  0.712  0.107  -0.03
F  0.271  0.288  0.893  -0.03

Computed properties:
E = -5.430 eV per atom